Entry 1:
MnAg2SbPb | PBE | optimized geometry

Its formation energy (no corrections) is 0.9004 eV per atom. Its total magnetization is 4.112 μB/cell. The calculated volume is 28.849 A^3/atom.

It has space group P4/mmm (No. 123), with a = 5.269 Å, b = 5.269 Å, c = 5.196 Å, α = 90.00°, β = 90.00° and γ = 90.00°. The distinct sites, in fractional coordinates, are Mn at (0.000, 0.000, 0.000), Ag at (0.000, 0.500, 0.500), Sb at (0.500, 0.500, 0.000) and Pb at (0.000, 0.000, 0.500).

***

Entry 2:
Nd3In4 | PBE | optimized geometry

Its total magnetization is 1.821 μB/cell. The calculated volume is 28.837 A^3/atom. Its formation energy is -0.45 eV/atom. The value obtained for the energy above the most stable polymorph in this dataset is 0.0 kJ/mol of atoms.

It has space group Immm (No. 71), with a = 3.852 Å, b = 4.908 Å, c = 21.355 Å, α = 90.00°, β = 90.00° and γ = 90.00°. The distinct sites, in fractional coordinates, are Nd at (0.000, 0.000, 0.000), Nd at (0.000, 0.500, 0.196), In at (0.000, 0.000, 0.433) and In at (0.000, 0.500, 0.355).

***

Entry 3:
SrMn3Nb | PBE | optimized geometry

Its total magnetization is 9.392 μB/cell. The calculated volume is 23.995 A^3/atom. Its formation energy is 0.82 eV/atom. The value obtained for the energy above the most stable polymorph in this dataset is 0.0 kJ/mol of atoms.

It has space group Pm-3m (No. 221), with a = 4.932 Å, b = 4.932 Å, c = 4.932 Å, α = 90.00°, β = 90.00° and γ = 90.00°. The distinct sites, in fractional coordinates, are Sr at (0.000, 0.000, 0.000), Mn at (0.000, 0.500, 0.500) and Nb at (0.500, 0.500, 0.500).